Entry 1:
The following is a PBE-GGA calculation of an optimized crystal structure of Ac4DyTl5, from Alexandria via LeMat-Bulk.

Summary:
Its calculated formation energy is -0.35 eV/atom. For the magnetic moment, the calculation gives 0.0 μB per cell.

abc: 3.978 3.978 21.221
angles: 90.00 90.00 90.00
Element x y z (fractional)
1 Ac 0.000 0.000 0.105
2 Ac 0.000 0.000 0.313
3 Ac 0.000 0.000 0.687
4 Ac 0.000 0.000 0.895
5 Dy 0.000 0.000 0.500
6 Tl 0.500 0.500 0.000
7 Tl 0.500 0.500 0.210
8 Tl 0.500 0.500 0.418
9 Tl 0.500 0.500 0.582
10 Tl 0.500 0.500 0.790


Entry 2:
The following is a PBE-GGA calculation of an optimized crystal structure of Tb5Er4Mg2, from Alexandria via LeMat-Bulk.

Summary:
Its polymorph energy (0 for the lowest one) is 190 meV/atom. Its calculated formation energy is 0.23 eV/atom. For the magnetic moment, the calculation gives 1.3 μB per cell.

abc: 12.391 12.391 12.391
angles: 164.16 138.46 44.73
Element x y z (fractional)
1 Tb 0.000 0.000 0.000
2 Tb 0.057 0.359 0.699
3 Tb 0.340 0.641 0.699
4 Tb 0.660 0.359 0.301
5 Tb 0.943 0.641 0.301
6 Er 0.269 0.769 0.500
7 Er 0.320 0.500 0.820
8 Er 0.680 0.500 0.180
9 Er 0.731 0.231 0.500
10 Mg 0.402 0.902 0.500
11 Mg 0.598 0.098 0.500


Entry 3:
The following is a PBE-GGA calculation of an optimized crystal structure of Ba2FeAg, from Alexandria via LeMat-Bulk.

Summary:
Its polymorph energy (0 for the lowest one) is 258 meV/atom. Its calculated formation energy is 0.48 eV/atom. For the magnetic moment, the calculation gives 2.3 μB per cell.

abc: 4.771 4.771 6.724
angles: 90.00 90.00 90.00
Element x y z (fractional)
1 Ba 0.000 0.000 0.000
2 Ba 0.500 0.500 0.500
3 Fe 0.000 0.000 0.500
4 Ag 0.500 0.500 0.000


Entry 4:
The following is a PBE-GGA calculation of an optimized crystal structure of Cr2TeRu, from Alexandria via LeMat-Bulk.

Summary:
The formation energy from raw total energies is 0.45 eV/atom. For the magnetic moment, the calculation gives 0.0 μB per cell.

abc: 2.936 3.929 5.477
angles: 90.00 96.19 90.00
Element x y z (fractional)
1 Cr 0.038 0.000 0.189
2 Cr 0.962 0.000 0.811
3 Te 0.500 0.500 0.500
4 Ru 0.500 0.500 0.000


Entry 5:
The following is a PBE-GGA calculation of an optimized crystal structure of AlMoH, from Alexandria via LeMat-Bulk.

Summary:
Its polymorph energy (0 for the lowest one) is 0 meV/atom. For the magnetic moment, the calculation gives 0.0 μB per cell.

abc: 3.121 3.121 4.015
angles: 90.00 90.00 120.00
Element x y z (fractional)
1 Al 0.000 0.000 0.000
2 Mo 0.667 0.333 0.511
3 H 0.333 0.667 0.354


Entry 6:
The following is a PBE-GGA calculation of an optimized crystal structure of BaVTe2As, from Alexandria via LeMat-Bulk.

Summary:
The formation energy from raw total energies is 0.05 eV/atom. For the magnetic moment, the calculation gives 3.3 μB per cell.

abc: 5.088 5.088 6.959
angles: 90.00 90.00 90.00
Element x y z (fractional)
1 Ba 0.000 0.000 0.000
2 V 0.000 0.000 0.500
3 Te 0.000 0.500 0.500
4 Te 0.500 0.000 0.500
5 As 0.500 0.500 0.000